## Pm4AgPd5 (GGA-PBE)

Data for a geometry-optimized Pm4AgPd5 structure.

Calculated volume ... 21.860 Å³ per atom
Formation enthalpy at 0 K ... -667 meV/atom
Energy ... -5.4483 eV/atom
Magnetization ... 0.000 μB/cell

Lattice parameters (Å, degrees): 3.5708 3.5708 17.1444 90.00 90.00 90.00
Sites, in units of the cell vectors:
Pm 0.0000 0.0000 0.1797
Pm 0.0000 0.0000 0.3932
Pm 0.0000 0.0000 0.6068
Pm 0.0000 0.0000 0.8203
Ag 0.0000 0.0000 0.0000
Pd 0.5000 0.5000 0.0850
Pd 0.5000 0.5000 0.2860
Pd 0.5000 0.5000 0.5000
Pd 0.5000 0.5000 0.7140
Pd 0.5000 0.5000 0.9150

=====

## PmAgPd (GGA-PBE)

Data for a geometry-optimized PmAgPd structure.

Calculated volume ... 21.845 Å³ per atom
Formation enthalpy at 0 K ... -507 meV/atom
Energy above the lowest structure with this stoichiometry ... 0.047 eV per atom
Energy ... -4.7721 eV/atom
Magnetization ... 0.000 μB/cell

Lattice parameters (Å, degrees): 3.7554 3.7554 5.3522 110.54 110.54 90.00
Sites, in units of the cell vectors:
Ag 0.6116 0.6116 0.2232
Pd 0.9484 0.9484 0.8968
Pm 0.2900 0.2900 0.5801

=====

## PmAg3Pd (GGA-PBE)

Data for a geometry-optimized PmAg3Pd structure.

Calculated volume ... 20.660 Å³ per atom
Formation enthalpy at 0 K ... -326 meV/atom
Energy above the lowest structure with this stoichiometry ... 0.000 eV per atom
Energy ... -4.0250 eV/atom
Magnetization ... 0.000 μB/cell

Lattice parameters (Å, degrees): 6.9448 5.5586 5.3667 90.00 85.75 90.00
Sites, in units of the cell vectors:
Pm 0.1433 0.7500 0.6516
Pm 0.8567 0.2500 0.3484
Ag 0.6882 0.5052 0.8659
Ag 0.3118 0.4948 0.1341
Ag 0.6882 0.9948 0.8659
Ag 0.3118 0.0052 0.1341
Ag 0.5910 0.7500 0.4049
Ag 0.4090 0.2500 0.5951
Pd 0.9582 0.7500 0.1670
Pd 0.0418 0.2500 0.8330

=====

## Pm4AgPd2Ru (GGA-PBE)

Data for a geometry-optimized Pm4AgPd2Ru structure.

Calculated volume ... 23.481 Å³ per atom
Formation enthalpy at 0 K ... -507 meV/atom
Energy ... -5.6968 eV/atom
Magnetization ... 0.000 μB/cell

Lattice parameters (Å, degrees): 5.1081 5.1081 8.8207 73.17 73.17 60.00
Sites, in units of the cell vectors:
Pm 0.3814 0.3814 0.8559
Pm 0.8699 0.8699 0.3903
Pm 0.1301 0.1301 0.6097
Pm 0.6186 0.6186 0.1441
Ag 0.0000 0.0000 0.0000
Pd 0.7476 0.7476 0.7572
Pd 0.2524 0.2524 0.2428
Ru 0.5000 0.5000 0.5000

=====

## PmAgSbPd (GGA-PBE)

Data for a geometry-optimized PmAgSbPd structure.

Calculated volume ... 21.799 Å³ per atom
Energy ... -4.8032 eV/atom
Formation energy (no corrections) ... -0.5739 eV/atom
Magnetization ... 0.000 μB/cell

Lattice parameters (Å, degrees): 4.9774 4.9774 4.9774 60.00 60.00 60.00
Sites, in units of the cell vectors:
Sb 0.0000 0.0000 0.0000
Pd 0.2500 0.2500 0.2500
Ag 0.7500 0.7500 0.7500
Pm 0.5000 0.5000 0.5000

=====

## Pm3Si6AgPd2 (GGA-PBE)

Data for a geometry-optimized Pm3Si6AgPd2 structure.

Calculated volume ... 20.197 Å³ per atom
Energy ... -5.3827 eV/atom
Formation energy (no corrections) ... -0.3804 eV/atom
Magnetization ... 0.000 μB/cell

Lattice parameters (Å, degrees): 5.8523 5.8523 8.1713 90.00 90.00 120.00
Sites, in units of the cell vectors:
Pm 0.3333 0.6667 0.6140
Pm 0.6667 0.3333 0.3860
Pm 0.0000 0.0000 0.0000
Si 0.6091 0.8045 0.2747
Si 0.1955 0.3909 0.2747
Si 0.1955 0.8045 0.2747
Si 0.8045 0.6091 0.7253
Si 0.3909 0.1955 0.7253
Si 0.8045 0.1955 0.7253
Ag 0.0000 0.0000 0.5000
Pd 0.6667 0.3333 0.9794
Pd 0.3333 0.6667 0.0206